Record 1
## CaGaBrCl2 (PBE-GGA)

Data for an optimized crystal structure of CaGaBrCl2. Values from VASP.

```
&SYSTEM
  ibrav = 0, nat = 10, ntyp = 4
/
ATOMIC_SPECIES
Ca 40.08 Ca.upf
Ga 69.72 Ga.upf
Br 79.90 Br.upf
Cl 35.45 Cl.upf
ATOMIC_POSITIONS crystal
Ca 0.247 0.250 0.441
Ca 0.753 0.750 0.559
Ga 0.244 0.750 0.995
Ga 0.756 0.250 0.005
Br 0.162 0.750 0.628
Br 0.838 0.250 0.372
Cl 0.123 0.250 0.127
Cl 0.420 0.750 0.351
Cl 0.580 0.250 0.649
Cl 0.877 0.750 0.873
CELL_PARAMETERS angstrom
7.656 0.000 0.000
0.000 4.449 0.000
-2.286 0.000 9.205
```

- E_form (uncorrected): -1.590 eV per atom
- DFT total energy: -3.67 eV per atom

Record 2
## CaGa2BrCl (PBE-GGA)

Data for an optimized crystal structure of CaGa2BrCl. Values from VASP.

```
&SYSTEM
  ibrav = 0, nat = 5, ntyp = 4
/
ATOMIC_SPECIES
Ca 40.08 Ca.upf
Ga 69.72 Ga.upf
Br 79.90 Br.upf
Cl 35.45 Cl.upf
ATOMIC_POSITIONS crystal
Ca 0.000 0.000 0.000
Ga 0.000 0.500 0.500
Ga 0.500 0.000 0.500
Br 0.500 0.500 0.500
Cl 0.500 0.500 0.000
CELL_PARAMETERS angstrom
5.346 0.000 0.000
0.000 5.346 0.000
0.000 0.000 6.698
```

- E_form (uncorrected): -0.090 eV per atom
- DFT total energy: -2.40 eV per atom

Record 3
## CaHBrCl (PBE-GGA)

Data for an optimized crystal structure of CaHBrCl. Values from VASP.

```
&SYSTEM
  ibrav = 0, nat = 4, ntyp = 4
/
ATOMIC_SPECIES
Ca 40.08 Ca.upf
H 1.01 H.upf
Br 79.90 Br.upf
Cl 35.45 Cl.upf
ATOMIC_POSITIONS crystal
Ca 0.000 0.000 0.000
H 0.075 0.500 0.135
Br 0.589 0.500 0.166
Cl 0.302 0.000 0.601
CELL_PARAMETERS angstrom
4.213 0.000 0.000
0.000 4.544 0.000
-2.067 0.000 4.690
```

- E above lowest polymorph: 0.052 eV/atom
- DFT total energy: -3.34 eV per atom

Record 4
## CaHBrCl (PBE-GGA)

Data for an optimized crystal structure of CaHBrCl. Values from VASP.

```
&SYSTEM
  ibrav = 0, nat = 4, ntyp = 4
/
ATOMIC_SPECIES
Ca 40.08 Ca.upf
H 1.01 H.upf
Br 79.90 Br.upf
Cl 35.45 Cl.upf
ATOMIC_POSITIONS crystal
Ca 0.000 0.000 0.000
H 0.991 0.263 0.266
Br 0.494 0.757 0.263
Cl 0.540 0.271 0.803
CELL_PARAMETERS angstrom
4.244 0.000 0.000
-2.083 3.701 0.000
-2.016 -1.200 6.559
```

- E above lowest polymorph: 0.000 eV/atom
- DFT total energy: -3.39 eV per atom

Record 5
## CaHBrCl (PBE-GGA)

Data for an optimized crystal structure of CaHBrCl. Values from VASP.

```
&SYSTEM
  ibrav = 0, nat = 4, ntyp = 4
/
ATOMIC_SPECIES
Ca 40.08 Ca.upf
H 1.01 H.upf
Br 79.90 Br.upf
Cl 35.45 Cl.upf
ATOMIC_POSITIONS crystal
Ca 0.000 0.000 0.000
H 0.333 0.667 0.478
Br 0.333 0.667 0.726
Cl 0.333 0.667 0.250
CELL_PARAMETERS angstrom
3.977 0.000 0.000
-1.989 3.444 0.000
0.000 0.000 7.278
```

- E above lowest polymorph: 0.329 eV/atom
- DFT total energy: -3.06 eV per atom

Record 6
## CaHBrCl (PBE-GGA)

Data for an optimized crystal structure of CaHBrCl. Values from VASP.

```
&SYSTEM
  ibrav = 0, nat = 4, ntyp = 4
/
ATOMIC_SPECIES
Ca 40.08 Ca.upf
H 1.01 H.upf
Br 79.90 Br.upf
Cl 35.45 Cl.upf
ATOMIC_POSITIONS crystal
Ca 0.000 0.000 0.000
H 0.356 0.356 0.065
Br 0.241 0.241 0.726
Cl 0.737 0.737 0.207
CELL_PARAMETERS angstrom
3.656 -2.109 0.000
3.656 2.109 0.000
-2.464 0.000 6.644
```

- E above lowest polymorph: 0.108 eV/atom
- DFT total energy: -3.28 eV per atom

Record 7
## CaHBrCl (PBE-GGA)

Data for an optimized crystal structure of CaHBrCl. Values from VASP.

```
&SYSTEM
  ibrav = 0, nat = 4, ntyp = 4
/
ATOMIC_SPECIES
Ca 40.08 Ca.upf
H 1.01 H.upf
Br 79.90 Br.upf
Cl 35.45 Cl.upf
ATOMIC_POSITIONS crystal
Ca 0.000 0.000 0.000
H 0.170 0.000 0.361
Br 0.343 0.000 0.665
Cl 0.556 0.500 0.119
CELL_PARAMETERS angstrom
3.822 0.000 0.000
0.000 4.110 0.000
-1.763 0.000 6.483
```

- E above lowest polymorph: 0.170 eV/atom
- DFT total energy: -3.22 eV per atom

Record 8
## CaHfBr2Cl (PBE-GGA)

Data for an optimized crystal structure of CaHfBr2Cl. Values from VASP.

```
&SYSTEM
  ibrav = 0, nat = 5, ntyp = 4
/
ATOMIC_SPECIES
Ca 40.08 Ca.upf
Hf 178.49 Hf.upf
Br 79.90 Br.upf
Cl 35.45 Cl.upf
ATOMIC_POSITIONS crystal
Ca 0.000 0.000 0.000
Hf 0.500 0.500 0.500
Br 0.000 0.500 0.000
Br 0.500 0.000 0.000
Cl 0.000 0.000 0.500
CELL_PARAMETERS angstrom
5.739 0.000 0.000
0.000 5.739 0.000
0.000 0.000 5.124
```

- E_form (uncorrected): -0.502 eV per atom
- DFT total energy: -3.93 eV per atom

Record 9
## CaIn2Br2Cl2 (PBE-GGA)

Data for an optimized crystal structure of CaIn2Br2Cl2. Values from VASP.

```
&SYSTEM
  ibrav = 0, nat = 7, ntyp = 4
/
ATOMIC_SPECIES
Ca 40.08 Ca.upf
In 114.82 In.upf
Br 79.90 Br.upf
Cl 35.45 Cl.upf
ATOMIC_POSITIONS crystal
Ca 0.000 0.000 0.000
In 0.153 0.153 0.652
In 0.847 0.847 0.348
Br 0.194 0.194 0.195
Br 0.806 0.806 0.805
Cl 0.500 0.500 0.250
Cl 0.500 0.500 0.750
CELL_PARAMETERS angstrom
8.380 -2.082 0.000
8.380 2.082 0.000
-3.107 0.000 6.519
```

- E_form (uncorrected): -1.355 eV per atom
- DFT total energy: -3.43 eV per atom

Record 10
## K2CaBr3Cl (PBE-GGA)

Data for an optimized crystal structure of K2CaBr3Cl. Values from VASP.

```
&SYSTEM
  ibrav = 0, nat = 7, ntyp = 4
/
ATOMIC_SPECIES
K 39.10 K.upf
Ca 40.08 Ca.upf
Br 79.90 Br.upf
Cl 35.45 Cl.upf
ATOMIC_POSITIONS crystal
K 0.141 0.141 0.000
K 0.859 0.859 0.000
Ca 0.500 0.500 0.000
Br 0.000 0.500 0.500
Br 0.331 0.331 0.000
Br 0.669 0.669 0.000
Cl 0.500 0.000 0.500
CELL_PARAMETERS angstrom
-2.677 2.833 8.501
2.677 -2.833 8.501
2.677 2.833 -8.501
```

- E_form (uncorrected): -1.919 eV per atom
- DFT total energy: -3.50 eV per atom

Record 11
## KCaBrCl2 (PBE-GGA)

Data for an optimized crystal structure of KCaBrCl2. Values from VASP.

```
&SYSTEM
  ibrav = 0, nat = 5, ntyp = 4
/
ATOMIC_SPECIES
K 39.10 K.upf
Ca 40.08 Ca.upf
Br 79.90 Br.upf
Cl 35.45 Cl.upf
ATOMIC_POSITIONS crystal
K 0.000 0.000 0.000
Ca 0.500 0.500 0.500
Br 0.500 0.500 0.000
Cl 0.000 0.500 0.500
Cl 0.500 0.000 0.500
CELL_PARAMETERS angstrom
5.381 0.000 0.000
0.000 5.381 0.000
0.000 0.000 5.760
```

- E_form (uncorrected): -2.095 eV per atom
- DFT total energy: -3.79 eV per atom

Record 12
## LiCa2BrCl4 (PBE-GGA)

Data for an optimized crystal structure of LiCa2BrCl4. Values from VASP.

```
&SYSTEM
  ibrav = 0, nat = 8, ntyp = 4
/
ATOMIC_SPECIES
Li 6.94 Li.upf
Ca 40.08 Ca.upf
Br 79.90 Br.upf
Cl 35.45 Cl.upf
ATOMIC_POSITIONS crystal
Li 0.000 0.000 0.000
Ca 0.179 0.179 0.752
Ca 0.821 0.821 0.248
Br 0.500 0.500 0.500
Cl 0.175 0.175 0.265
Cl 0.384 0.384 0.077
Cl 0.616 0.616 0.923
Cl 0.825 0.825 0.735
CELL_PARAMETERS angstrom
6.254 -1.933 0.000
6.254 1.933 0.000
-4.508 0.000 8.416
```

- E_form (uncorrected): -2.136 eV per atom
- DFT total energy: -4.01 eV per atom